Arrangement A

AlSnGe after structural relaxation, computed with PBE-GGA.

a b c (Å): 4.0729 4.0729 4.7396
angles (deg): 90.00 90.00 120.00
Sites, in units of the cell vectors:
Al1 0.0000 0.0000 0.0000
Sn1 0.6667 0.3333 0.4046
Ge1 0.3333 0.6667 0.7660

Output
Crystal system = trigonal
M_tot = 0.00 μB per formula unit



Arrangement B

AlSnGe after structural relaxation, computed with PBE-GGA.

a b c (Å): 3.5685 3.5685 10.0405
angles (deg): 90.00 90.00 90.00
Sites, in units of the cell vectors:
Al1 0.2500 0.2500 0.2047
Al2 0.7500 0.7500 0.7953
Sn1 0.2500 0.2500 0.6112
Sn2 0.7500 0.7500 0.3888
Ge1 0.2500 0.2500 0.9230
Ge2 0.7500 0.7500 0.0770

Output
Crystal system = tetragonal
M_tot = 0.00 μB per formula unit



Arrangement C

AlSnGe after structural relaxation, computed with PBE-GGA.

a b c (Å): 4.6493 4.6493 4.6493
angles (deg): 60.00 60.00 60.00
Sites, in units of the cell vectors:
Al1 0.0000 0.0000 0.0000
Sn1 0.2500 0.2500 0.2500
Ge1 0.7500 0.7500 0.7500

Output
Crystal system = cubic
M_tot = 0.00 μB per formula unit



The most stable of them is arrangement A.



Arrangement A

Al3SnGe after structural relaxation, computed with PBE-GGA.

a b c (Å): 5.2150 5.2150 5.2150
angles (deg): 90.00 90.00 90.00
Sites, in units of the cell vectors:
Al1 0.0000 0.0000 0.5000
Al2 0.0000 0.5000 0.0000
Al3 0.5000 0.0000 0.0000
Sn1 0.0000 0.0000 0.0000
Ge1 0.5000 0.5000 0.5000

Output
Crystal system = cubic
M_tot = 0.00 μB per formula unit



Arrangement B

Al3SnGe after structural relaxation, computed with PBE-GGA.

a b c (Å): 4.9055 4.9055 4.9055
angles (deg): 90.00 90.00 90.00
Sites, in units of the cell vectors:
Al1 0.0000 0.0000 0.5000
Al2 0.0000 0.5000 0.0000
Al3 0.5000 0.0000 0.0000
Sn1 0.5000 0.5000 0.5000
Ge1 0.0000 0.0000 0.0000

Output
Crystal system = cubic
M_tot = 0.00 μB per formula unit



The most stable of them is arrangement B.